## PuZnRuAu (PBE)

Data for a relaxed PuZnRuAu crystal.

Calculated values
Total moment in μB per cell: 4.43
Space group: F-43m (216)
Energy of formation in eV/atom: -0.055

a b c (Å): 4.7087 4.7087 4.7087
angles (deg): 60.00 60.00 60.00
Closest atoms and distances in Å follow each position.
Fractional coordinates of all 4 atoms:
Pu: 0.0000 0.0000 0.0000  4 Au 2.88, 4 Ru 2.88
Zn: 0.5000 0.5000 0.5000  4 Au 2.88, 4 Ru 2.88
Ru: 0.2500 0.2500 0.2500  4 Pu 2.88, 4 Zn 2.88
Au: 0.7500 0.7500 0.7500  4 Pu 2.88, 4 Zn 2.88

=====

## SrBH (PBE)

Data for a relaxed SrBH crystal.

Calculated values
Total moment in μB per cell: 0.00
Space group: P-1 (2)
Energy above the most stable polymorph in this dataset in meV/atom: 28

a b c (Å): 3.2089 4.2663 7.2252
angles (deg): 98.24 94.98 111.85
Closest atoms and distances in Å follow each position.
Fractional coordinates of all 6 atoms:
Sr: 0.0168 0.1086 0.2833  5 H 2.48-2.63
Sr: 0.9832 0.8914 0.7167  5 H 2.48-2.63
B: 0.2629 0.5216 0.9991  2 B 1.60-1.63
B: 0.7371 0.4784 0.0009  2 B 1.60-1.63
H: 0.3452 0.7254 0.4384  1 H 2.19
H: 0.6548 0.2746 0.5616  1 H 2.19

=====

## GeCSI2 (PBE)

Data for a relaxed GeCSI2 crystal.

Calculated values
Total moment in μB per cell: 0.98
Total DFT energy (no corrections) in eV per atom: -2.5964
Space group: P4/mmm (123)

a b c (Å): 5.7832 5.7832 4.5834
angles (deg): 90.00 90.00 90.00
Closest atoms and distances in Å follow each position.
Fractional coordinates of all 5 atoms:
Ge: 0.0000 0.0000 0.0000  2 S 2.29
C: 0.5000 0.5000 0.5000  8 I 3.69, 4 S 4.09
S: 0.0000 0.0000 0.5000  2 Ge 2.29
I: 0.0000 0.5000 0.0000  2 Ge 2.89
I: 0.5000 0.0000 0.0000  2 Ge 2.89

=====

## KRePt (PBE)

Data for a relaxed KRePt crystal.

Calculated values
Total moment in μB per cell: 0.00
Space group: P1 (1)
Energy of formation in eV/atom: 0.466
Energy above the most stable polymorph in this dataset in meV/atom: 238

a b c (Å): 5.0283 5.0371 6.8089
angles (deg): 89.47 75.54 63.23
Closest atoms and distances in Å follow each position.
Fractional coordinates of all 6 atoms:
K: 0.0000 0.0000 0.0000  3 K 3.03-3.18, 1 Pt 3.29
K: 0.3023 0.3805 0.1324  3 K 3.03-3.18, 1 Re 3.19
Re: 0.1257 0.4510 0.6194  4 Pt 2.62-2.65, 2 Re 2.63-2.65
Re: 0.6324 0.9487 0.6083  4 Pt 2.60-2.62, 2 Re 2.63-2.65
Pt: 0.1771 0.9307 0.4983  4 Re 2.61-2.65, 2 Pt 2.64
Pt: 0.6725 0.4311 0.5049  4 Re 2.60-2.63, 2 Pt 2.64

=====

## BaHCl (PBE)

Data for a relaxed BaHCl crystal.

Calculated values
Total moment in μB per cell: 0.00
Space group: I4mm (107)
Energy above the most stable polymorph in this dataset in meV/atom: 287

a b c (Å): 5.7279 5.7279 5.7279
angles (deg): 141.23 141.23 55.99
Closest atoms and distances in Å follow each position.
Fractional coordinates of all 3 atoms:
Ba: 0.0000 0.0000 0.0000  4 H 2.81, 1 Cl 3.11
H: 0.5816 0.5816 0.0000  1 Cl 2.77, 4 Ba 2.81
Cl: 0.3078 0.3078 0.0000  1 H 2.77

=====

## GdAlN2 (PBE)

Data for a relaxed GdAlN2 crystal.

Calculated values
Total moment in μB per cell: 7.00
Total DFT energy (no corrections) in eV per atom: -9.4725
Space group: R-3m (166)

a b c (Å): 6.2065 6.2065 6.2065
angles (deg): 34.62 34.62 34.62
Closest atoms and distances in Å follow each position.
Fractional coordinates of all 4 atoms:
Gd: 0.0000 0.0000 0.0000  6 N 2.43
Al: 0.5000 0.5000 0.5000  2 N 1.74
N: 0.4005 0.4005 0.4005  1 Al 1.74
N: 0.5995 0.5995 0.5995  1 Al 1.74

=====

## LaHo7Er3 (PBE)

Data for a relaxed LaHo7Er3 crystal.

Calculated values
Total moment in μB per cell: 0.00
Space group: P2/m (10)
Energy of formation in eV/atom: 0.147
Energy above the most stable polymorph in this dataset in meV/atom: 0

a b c (Å): 6.9143 5.5313 9.8216
angles (deg): 90.00 108.90 90.00
Closest atoms and distances in Å follow each position.
Fractional coordinates of all 11 atoms:
La: 0.0000 0.0000 0.0000  2 Er 3.46, 10 Ho 3.56-3.79
Ho: 0.0000 0.0000 0.5000  4 Er 3.37, 2 Ho 3.75
Ho: 0.1476 0.5000 0.7894  3 Ho 3.29-3.56, 2 Er 3.29-3.32
Ho: 0.3281 0.5000 0.1431  5 Ho 3.28-3.56, 3 Er 3.48-3.59, 2 La 3.56
Ho: 0.4296 0.0000 0.3325  3 Ho 3.11-3.28, 1 Er 3.45
Ho: 0.5704 0.0000 0.6675  3 Ho 3.11-3.28, 1 Er 3.45
Ho: 0.6719 0.5000 0.8569  5 Ho 3.28-3.56, 3 Er 3.48-3.59, 2 La 3.56
Ho: 0.8524 0.5000 0.2106  3 Ho 3.29-3.56, 2 Er 3.29-3.32
Er: 0.2750 0.5000 0.4943  1 Er 3.08, 4 Ho 3.29-3.37
Er: 0.5000 0.0000 0.0000  10 Ho 3.45-3.82, 2 La 3.46
Er: 0.7250 0.5000 0.5057  1 Er 3.08, 4 Ho 3.29-3.37

=====

## Cs5Br2Cl2 (PBE)

Data for a relaxed Cs5Br2Cl2 crystal.

Calculated values
Total moment in μB per cell: 0.00
Total DFT energy (no corrections) in eV per atom: -2.8082
Space group: Cmce (64)

a b c (Å): 10.5093 10.5093 10.1155
angles (deg): 90.00 90.00 54.13
Closest atoms and distances in Å follow each position.
Fractional coordinates of all 18 atoms:
Cs: 0.0000 0.0000 0.0000  4 Cl 3.61-3.70, 2 Br 3.62
Cs: 0.0166 0.7087 0.6588  1 Cl 3.53, 3 Br 3.83-3.90
Cs: 0.2087 0.5166 0.1588  1 Cl 3.53, 3 Br 3.83-3.90
Cs: 0.2913 0.9834 0.6588  1 Cl 3.53, 3 Br 3.83-3.90
Cs: 0.4834 0.7913 0.1588  1 Cl 3.53, 3 Br 3.83-3.90
Cs: 0.5000 0.5000 0.5000  4 Cl 3.61-3.70, 2 Br 3.62
Cs: 0.5166 0.2087 0.8412  1 Cl 3.53, 3 Br 3.83-3.90
Cs: 0.7087 0.0166 0.3412  1 Cl 3.53, 3 Br 3.83-3.90
Cs: 0.7913 0.4834 0.8412  1 Cl 3.53, 3 Br 3.83-3.90
Cs: 0.9834 0.2913 0.3412  1 Cl 3.53, 3 Br 3.83-3.90
Br: 0.1934 0.1934 0.0000  7 Cs 3.62-3.90
Br: 0.3066 0.3066 0.5000  7 Cs 3.62-3.90
Br: 0.6934 0.6934 0.5000  7 Cs 3.62-3.90
Br: 0.8066 0.8066 0.0000  7 Cs 3.62-3.90
Cl: 0.1611 0.8389 0.3227  4 Cs 3.53-3.70
Cl: 0.3389 0.6611 0.8227  4 Cs 3.53-3.70
Cl: 0.6611 0.3389 0.1773  4 Cs 3.53-3.70
Cl: 0.8389 0.1611 0.6773  4 Cs 3.53-3.70

=====

## V2Fe2Au (PBE)

Data for a relaxed V2Fe2Au crystal.

Calculated values
Total moment in μB per cell: 0.00
Space group: P4/mbm (127)
Energy of formation in eV/atom: 0.152
Energy above the most stable polymorph in this dataset in meV/atom: 175

a b c (Å): 7.0197 7.0197 2.7045
angles (deg): 90.00 90.00 90.00
Closest atoms and distances in Å follow each position.
Fractional coordinates of all 10 atoms:
V: 0.1423 0.3577 0.0000  6 Fe 2.43-2.51, 2 Au 2.70, 2 V 2.70
V: 0.3577 0.8577 0.0000  6 Fe 2.43-2.51, 2 Au 2.70, 2 V 2.70
V: 0.6423 0.1423 0.0000  6 Fe 2.43-2.51, 2 Au 2.70, 2 V 2.70
V: 0.8577 0.6423 0.0000  6 Fe 2.43-2.51, 2 Au 2.70, 2 V 2.70
Fe: 0.1446 0.6446 0.5000  6 V 2.43-2.51, 2 Fe 2.70
Fe: 0.3554 0.1446 0.5000  6 V 2.43-2.51, 2 Fe 2.70
Fe: 0.6446 0.8554 0.5000  6 V 2.43-2.51, 2 Fe 2.70
Fe: 0.8554 0.3554 0.5000  6 V 2.43-2.51, 2 Fe 2.70
Au: 0.0000 0.0000 0.0000  4 V 2.70, 2 Au 2.70, 8 Fe 3.01
Au: 0.5000 0.5000 0.0000  4 V 2.70, 2 Au 2.70, 8 Fe 3.01

=====

## TcIr2Au (PBE)

Data for a relaxed TcIr2Au crystal.

Calculated values
Total moment in μB per cell: 0.49
Space group: P4/mmm (123)
Energy of formation in eV/atom: 0.351
Energy above the most stable polymorph in this dataset in meV/atom: 329

a b c (Å): 3.9596 3.9596 3.8979
angles (deg): 90.00 90.00 90.00
Closest atoms and distances in Å follow each position.
Fractional coordinates of all 4 atoms:
Tc: 0.0000 0.0000 0.0000  8 Ir 2.78, 4 Au 2.80
Ir: 0.0000 0.5000 0.5000  4 Au 2.78, 4 Tc 2.78, 4 Ir 2.80
Ir: 0.5000 0.0000 0.5000  4 Au 2.78, 4 Tc 2.78, 4 Ir 2.80
Au: 0.5000 0.5000 0.0000  8 Ir 2.78, 4 Tc 2.80

=====

Q: The highest total moment belongs to which entry?
A: GdAlN2

=====

What did the fifth record say?
## BaHCl (PBE)

Data for a relaxed BaHCl crystal.

Calculated values
Total moment in μB per cell: 0.00
Space group: I4mm (107)
Energy above the most stable polymorph in this dataset in meV/atom: 287

a b c (Å): 5.7279 5.7279 5.7279
angles (deg): 141.23 141.23 55.99
Closest atoms and distances in Å follow each position.
Fractional coordinates of all 3 atoms:
Ba: 0.0000 0.0000 0.0000  4 H 2.81, 1 Cl 3.11
H: 0.5816 0.5816 0.0000  1 Cl 2.77, 4 Ba 2.81
Cl: 0.3078 0.3078 0.0000  1 H 2.77

=====

Q: Which of these has the highest total moment?
A: GdAlN2

=====

What did the ninth record say?
## V2Fe2Au (PBE)

Data for a relaxed V2Fe2Au crystal.

Calculated values
Total moment in μB per cell: 0.00
Space group: P4/mbm (127)
Energy of formation in eV/atom: 0.152
Energy above the most stable polymorph in this dataset in meV/atom: 175

a b c (Å): 7.0197 7.0197 2.7045
angles (deg): 90.00 90.00 90.00
Closest atoms and distances in Å follow each position.
Fractional coordinates of all 10 atoms:
V: 0.1423 0.3577 0.0000  6 Fe 2.43-2.51, 2 Au 2.70, 2 V 2.70
V: 0.3577 0.8577 0.0000  6 Fe 2.43-2.51, 2 Au 2.70, 2 V 2.70
V: 0.6423 0.1423 0.0000  6 Fe 2.43-2.51, 2 Au 2.70, 2 V 2.70
V: 0.8577 0.6423 0.0000  6 Fe 2.43-2.51, 2 Au 2.70, 2 V 2.70
Fe: 0.1446 0.6446 0.5000  6 V 2.43-2.51, 2 Fe 2.70
Fe: 0.3554 0.1446 0.5000  6 V 2.43-2.51, 2 Fe 2.70
Fe: 0.6446 0.8554 0.5000  6 V 2.43-2.51, 2 Fe 2.70
Fe: 0.8554 0.3554 0.5000  6 V 2.43-2.51, 2 Fe 2.70
Au: 0.0000 0.0000 0.0000  4 V 2.70, 2 Au 2.70, 8 Fe 3.01
Au: 0.5000 0.5000 0.0000  4 V 2.70, 2 Au 2.70, 8 Fe 3.01